(1)
First-principles (GGA-PBE) data for a relaxed structure of Pr3Y3Ho2, as listed in the Alexandria database.

CIF file:
```
data_Pr3Y3Ho2
_symmetry_space_group_name_H-M 'C 1 2/m 1'
_symmetry_Int_Tables_number 12
_cell_length_a 16.511
_cell_length_b 5.752
_cell_length_c 6.053
_cell_angle_alpha 90.00
_cell_angle_beta 109.80
_cell_angle_gamma 90.00
loop_
_symmetry_equiv_pos_as_xyz
'x,y,z'
'-x,-y,-z'
'-x,y,-z'
'x,-y,z'
'x+1/2,y+1/2,z'
'-x+1/2,-y+1/2,-z'
'-x+1/2,y+1/2,-z'
'x+1/2,-y+1/2,z'
loop_
_atom_site_label
_atom_site_type_symbol
_atom_site_fract_x
_atom_site_fract_y
_atom_site_fract_z
Pr1 Pr 0.000 0.000 0.000
Pr2 Pr 0.136 0.000 0.697
Y1 Y 0.000 0.500 0.500
Y2 Y 0.134 0.500 0.083
Ho1 Ho 0.250 0.000 0.318
```

crystal system: monoclinic
uncorrected energy: -5.2827 eV per atom
DFT formation energy: 8 kJ per mole of atoms
V: 541 Å³ per cell

(2)
First-principles (GGA-PBE) data for a relaxed structure of SrCr4Hg, as listed in the Alexandria database.

CIF file:
```
data_SrCr4Hg
_symmetry_space_group_name_H-M 'F -4 3 m'
_symmetry_Int_Tables_number 216
_symmetry_space_group_name_Hall 'F -4 2 3'
_cell_length_a 7.340
_cell_length_b 7.340
_cell_length_c 7.340
_cell_angle_alpha 90.00
_cell_angle_beta 90.00
_cell_angle_gamma 90.00
loop_
_atom_site_label
_atom_site_type_symbol
_atom_site_fract_x
_atom_site_fract_y
_atom_site_fract_z
Sr1 Sr 0.000 0.000 0.000
Cr1 Cr 0.130 0.130 0.630
Hg1 Hg 0.250 0.250 0.250
```

crystal system: cubic
uncorrected energy: -5.9027 eV per atom
DFT formation energy: 81 kJ per mole of atoms
V: 395 Å³ per cell

(3)
First-principles (GGA-PBE) data for a relaxed structure of CrReRh2, as listed in the Alexandria database.

CIF file:
```
data_CrReRh2
_symmetry_space_group_name_H-M 'P m m 2'
_symmetry_Int_Tables_number 25
_cell_length_a 2.695
_cell_length_b 4.300
_cell_length_c 4.737
_cell_angle_alpha 90.00
_cell_angle_beta 90.00
_cell_angle_gamma 90.00
loop_
_symmetry_equiv_pos_as_xyz
'x,y,z'
'-x,-y,z'
'-x,y,z'
'x,-y,z'
loop_
_atom_site_label
_atom_site_type_symbol
_atom_site_fract_x
_atom_site_fract_y
_atom_site_fract_z
Cr1 Cr 0.000 0.000 0.000
Re1 Re 0.000 0.500 0.677
Rh1 Rh 0.500 0.000 0.508
Rh2 Rh 0.500 0.500 0.163
```

crystal system: orthorhombic
uncorrected energy: -9.3264 eV per atom
DFT formation energy: -13 kJ per mole of atoms
V: 55 Å³ per cell
ΔE to the lowest computed polymorph: 0.0000 eV per atom

(4)
First-principles (GGA-PBE) data for a relaxed structure of Y3Ge4Pd7, as listed in the Alexandria database.

CIF file:
```
data_Y3Ge4Pd7
_symmetry_space_group_name_H-M 'C 1 2/m 1'
_symmetry_Int_Tables_number 12
_cell_length_a 15.728
_cell_length_b 4.108
_cell_length_c 9.594
_cell_angle_alpha 90.00
_cell_angle_beta 125.25
_cell_angle_gamma 90.00
loop_
_symmetry_equiv_pos_as_xyz
'x,y,z'
'-x,-y,-z'
'-x,y,-z'
'x,-y,z'
'x+1/2,y+1/2,z'
'-x+1/2,-y+1/2,-z'
'-x+1/2,y+1/2,-z'
'x+1/2,-y+1/2,z'
loop_
_atom_site_label
_atom_site_type_symbol
_atom_site_fract_x
_atom_site_fract_y
_atom_site_fract_z
Y1 Y 0.000 0.000 0.000
Y2 Y 0.175 0.500 0.672
Ge1 Ge 0.109 0.000 0.826
Ge2 Ge 0.163 0.500 0.264
Pd1 Pd 0.000 0.000 0.500
Pd2 Pd 0.011 0.500 0.286
Pd3 Pd 0.169 0.000 0.426
Pd4 Pd 0.193 0.500 0.031
```

crystal system: monoclinic
uncorrected energy: -6.1546 eV per atom
DFT formation energy: -82 kJ per mole of atoms
V: 506 Å³ per cell

(5)
First-principles (GGA-PBE) data for a relaxed structure of In2RuRh, as listed in the Alexandria database.

CIF file:
```
data_In2RuRh
_symmetry_space_group_name_H-M 'R -3 m'
_symmetry_Int_Tables_number 166
_symmetry_space_group_name_Hall '-R 3 2"'
_cell_length_a 3.0877
_cell_length_b 3.0877
_cell_length_c 25.5459
_cell_angle_alpha 90.00
_cell_angle_beta 90.00
_cell_angle_gamma 120.00
loop_
_atom_site_label
_atom_site_type_symbol
_atom_site_fract_x
_atom_site_fract_y
_atom_site_fract_z
In1 In 0.0000 0.0000 0.2502
Ru1 Ru 0.0000 0.0000 0.5000
Rh1 Rh 0.0000 0.0000 0.0000
```

crystal system: trigonal
uncorrected energy: -5.4806 eV per atom
DFT formation energy: 4 kJ per mole of atoms
V: 211 Å³ per cell

(6)
First-principles (GGA-PBE) data for a relaxed structure of ZrMo2Br, as listed in the Alexandria database.

CIF file:
```
data_ZrMo2Br
_symmetry_space_group_name_H-M 'C 1 m 1'
_symmetry_Int_Tables_number 8
_cell_length_a 9.721
_cell_length_b 3.216
_cell_length_c 5.346
_cell_angle_alpha 90.00
_cell_angle_beta 110.25
_cell_angle_gamma 90.00
loop_
_symmetry_equiv_pos_as_xyz
'x,y,z'
'x,-y,z'
'x+1/2,y+1/2,z'
'x+1/2,-y+1/2,z'
loop_
_atom_site_label
_atom_site_type_symbol
_atom_site_fract_x
_atom_site_fract_y
_atom_site_fract_z
Zr1 Zr 0.000 0.000 0.000
Mo1 Mo 0.164 0.000 0.627
Mo2 Mo 0.461 0.000 0.499
Br1 Br 0.250 0.500 0.106
```

crystal system: monoclinic
uncorrected energy: -7.6007 eV per atom
V: 157 Å³ per cell
formation energy (no corrections): 1.48 eV per formula unit
ΔE to the lowest computed polymorph: 0.2554 eV per atom